DFT (SCAN) results for a PBEsol-optimized structure of Co3SbBr.

Computed properties:
Uncorrected formation energy: 0.829 eV/atom

Unit cell a=4.8035 b=4.8035 c=4.8035 alpha=90.00 beta=90.00 gamma=90.00
Closest atoms and distances in Å follow each position.
Space group Pm-3m (No. 221)
Inequivalent atoms, fractional coordinates:
Co1 0.0000 0.0000 0.5000 x3  2 Sb 2.40
Sb1 0.0000 0.0000 0.0000 x1  6 Co 2.40
Br1 0.5000 0.5000 0.5000 x1  12 Co 3.40